Entry 1:
First-principles (PBE-GGA) data for a relaxed structure of CaOs2Br, as listed in Alexandria.

The structure in extended XYZ format:
```
4
Lattice="3.524 0.000 0.000 0.000 3.112 -0.052 0.000 1.689 7.655" Properties=species:S:1:pos:R:3 pbc="T T T"
Os 0.000 0.200 0.346
Os 1.762 1.772 1.288
Br 0.000 1.822 3.999
Ca 1.762 3.408 5.772
```

Calculated values
**Formation energy from raw total energies**: 0.150 eV per atom
**Offset from the most stable computed form**: 0.080 eV/atom
**Crystal system**: orthorhombic
**Total moment**: 0.0 Bohr magnetons per cell

Entry 2:
First-principles (PBE-GGA) data for a relaxed structure of CaOs2Br, as listed in Alexandria.

The structure in extended XYZ format:
```
4
Lattice="-1.353 2.035 1.613 1.613 -2.033 1.356 7.714 5.667 -0.679" Properties=species:S:1:pos:R:3 pbc="T T T"
Ca 5.916 4.251 0.975
Br 2.059 1.418 1.315
Os 0.057 0.042 -0.005
Os 3.800 2.791 -0.335
```

Calculated values
**Formation energy from raw total energies**: 1.236 eV per atom
**Offset from the most stable computed form**: 1.166 eV/atom
**Crystal system**: orthorhombic
**Total moment**: 0.0 Bohr magnetons per cell

Entry 3:
First-principles (PBE-GGA) data for a relaxed structure of CaOs2Br, as listed in Alexandria.

The structure in extended XYZ format:
```
4
Lattice="-0.100 3.600 -4.353 -5.179 0.041 -2.259 2.683 1.061 4.857" Properties=species:S:1:pos:R:3 pbc="T T T"
Ca -2.629 1.503 -0.430
Os -4.851 3.346 -6.075
Os -0.134 3.314 -1.533
Br -2.901 2.001 -3.633
```

Calculated values
**Formation energy from raw total energies**: 0.561 eV per atom
**Offset from the most stable computed form**: 0.492 eV/atom
**Crystal system**: orthorhombic
**Total moment**: 0.0 Bohr magnetons per cell

Entry 4:
First-principles (PBE-GGA) data for a relaxed structure of CaOs2Br, as listed in Alexandria.

The structure in extended XYZ format:
```
4
Lattice="-1.812 -6.045 -2.601 3.366 -5.257 -2.759 -1.286 4.493 4.974" Properties=species:S:1:pos:R:3 pbc="T T T"
Os 0.759 -5.521 -2.618
Os 0.018 -0.130 -0.062
Br -1.160 -3.601 -0.153
Ca 1.429 -3.208 -0.232
```

Calculated values
**Formation energy from raw total energies**: 0.526 eV per atom
**Offset from the most stable computed form**: 0.456 eV/atom
**Crystal system**: orthorhombic
**Total moment**: 0.0 Bohr magnetons per cell

Entry 5:
First-principles (PBE-GGA) data for a relaxed structure of CaOs2Br, as listed in Alexandria.

The structure in extended XYZ format:
```
8
Lattice="-3.379 -6.866 -2.615 3.663 0.921 -7.150 2.127 -4.272 -4.033" Properties=species:S:1:pos:R:3 pbc="T T T"
Br -0.555 -7.055 -5.765
Br 0.000 0.000 0.000
Os -1.295 -5.595 -3.670
Os 1.514 -5.481 -6.321
Os 2.031 -8.359 -11.935
Os 2.572 -1.000 -5.670
Ca 0.142 -2.972 -4.883
Ca 2.966 -3.162 -8.033
```

Calculated values
**Formation energy from raw total energies**: 1.153 eV per atom
**Offset from the most stable computed form**: 1.083 eV/atom
**Crystal system**: tetragonal
**Total moment**: 0.0 Bohr magnetons per cell

Entry 6:
First-principles (PBE-GGA) data for a relaxed structure of CaOs2Br, as listed in Alexandria.

The structure in extended XYZ format:
```
4
Lattice="4.573 -0.022 0.000 -0.958 4.471 0.000 -1.807 -2.225 3.563" Properties=species:S:1:pos:R:3 pbc="T T T"
Br 1.807 2.225 0.000
Os 0.000 0.000 0.000
Os -0.479 2.236 1.781
Ca 2.286 -0.011 1.781
```

Calculated values
**Formation energy from raw total energies**: 1.016 eV per atom
**Offset from the most stable computed form**: 0.946 eV/atom
**Crystal system**: tetragonal
**Total moment**: 0.0 Bohr magnetons per cell

Entry 7:
First-principles (PBE-GGA) data for a relaxed structure of CaOs2Br, as listed in Alexandria.

The structure in extended XYZ format:
```
4
Lattice="-0.400 -0.878 3.097 -2.133 -2.493 -0.982 6.251 -5.096 -0.638" Properties=species:S:1:pos:R:3 pbc="T T T"
Os 0.249 -0.203 -0.025
Os -0.316 -2.460 0.960
Br 3.419 -2.787 -0.349
Ca 3.493 -5.565 0.571
```

Calculated values
**Formation energy from raw total energies**: 0.163 eV per atom
**Offset from the most stable computed form**: 0.094 eV/atom
**Crystal system**: orthorhombic
**Total moment**: 0.0 Bohr magnetons per cell

Entry 8:
First-principles (PBE-GGA) data for a relaxed structure of CaOs2Br, as listed in Alexandria.

The structure in extended XYZ format:
```
4
Lattice="5.951 0.001 -0.002 5.153 2.977 -0.002 -0.019 -0.005 4.386" Properties=species:S:1:pos:R:3 pbc="T T T"
Os 10.818 2.901 0.138
Os 5.830 1.563 2.048
Ca 2.771 0.743 1.095
Br 8.314 2.230 3.286
```

Calculated values
**Formation energy from raw total energies**: 0.451 eV per atom
**Offset from the most stable computed form**: 0.381 eV/atom
**Crystal system**: monoclinic
**Total moment**: 0.0 Bohr magnetons per cell

Entry 9:
First-principles (PBE-GGA) data for a relaxed structure of Ca4OsBr, as listed in Alexandria.

The structure in extended XYZ format:
```
6
Lattice="3.760 -4.956 -0.960 -2.413 -5.813 -0.084 -0.325 -3.195 -5.414" Properties=species:S:1:pos:R:3 pbc="T T T"
Ca 0.385 -5.260 -2.433
Ca 0.225 -6.836 -5.102
Ca 2.239 -7.704 -2.906
Ca -0.805 -8.127 -2.474
Br 0.000 0.000 0.000
Os 0.766 -10.472 -4.843
```

Calculated values
**Formation energy from raw total energies**: 0.766 eV per atom
**Crystal system**: cubic
**Total moment**: 0.2 Bohr magnetons per cell

Entry 10:
First-principles (PBE-GGA) data for a relaxed structure of CaOs2Br, as listed in Alexandria.

The structure in extended XYZ format:
```
4
Lattice="9.263 0.008 0.005 8.742 3.063 0.005 8.742 1.491 2.676" Properties=species:S:1:pos:R:3 pbc="T T T"
Br 13.341 2.276 1.339
Os 6.897 1.176 0.692
Os 26.576 4.533 2.668
Ca 20.054 3.421 2.013
```

Calculated values
**Formation energy from raw total energies**: 0.602 eV per atom
**Offset from the most stable computed form**: 0.532 eV/atom
**Crystal system**: trigonal
**Total moment**: 0.0 Bohr magnetons per cell

Entry 11:
First-principles (PBE-GGA) data for a relaxed structure of CaOs2Br, as listed in Alexandria.

The structure in extended XYZ format:
```
4
Lattice="-4.485 3.502 0.891 -0.368 -1.217 2.930 2.714 3.109 1.443" Properties=species:S:1:pos:R:3 pbc="T T T"
Br -1.656 2.224 1.539
Os 2.659 2.987 1.645
Os 1.228 1.068 1.984
Ca -0.482 3.170 3.726
```

Calculated values
**Formation energy from raw total energies**: 0.513 eV per atom
**Offset from the most stable computed form**: 0.444 eV/atom
**Crystal system**: monoclinic
**Total moment**: 0.0 Bohr magnetons per cell

Entry 12:
First-principles (PBE-GGA) data for a relaxed structure of Rb2CaOsBr6, as listed in Alexandria.

The structure in extended XYZ format:
```
10
Lattice="7.665 0.000 0.000 0.000 7.665 0.000 3.833 3.833 5.420" Properties=species:S:1:pos:R:3 pbc="T T T"
Ca 3.833 3.833 0.000
Rb 7.665 3.833 2.710
Rb 3.833 7.665 2.710
Br 3.833 3.833 2.865
Br 1.806 5.859 0.000
Br 1.806 1.806 0.000
Br 7.665 7.665 2.555
Br 5.859 5.859 0.000
Br 5.859 1.806 0.000
Os 0.000 0.000 0.000
```

Calculated values
**Formation energy from raw total energies**: -1.108 eV per atom
**Crystal system**: cubic
**Total moment**: 0.0 Bohr magnetons per cell